This record from Alexandria describes a geometry-optimized NaGa2Tc structure. The functional is GGA-PBE.

The structure in extended XYZ format:
```
4
Lattice="-2.9559 -1.3074 0.2613 1.3322 -2.9212 0.4549 0.1071 1.0750 6.5891" Properties=species:S:1:pos:R:3 pbc="T T T"
Tc -0.8119 -2.1143 0.3581
Ga 0.0213 0.2136 1.3092
Na -0.7583 -1.5768 3.6527
Ga 0.0858 0.8614 5.2798
```

## Properties
VASP energy, eV/atom: -4.4514
Energy relative to the elements, eV per atom: -0.0167
SG: No. 123
Offset from the most stable computed form, eV/f.u.: 0.00

---

This record from Alexandria describes a geometry-optimized NaGaTc structure. The functional is GGA-PBE.

The structure in extended XYZ format:
```
6
Lattice="-1.5228 -2.5778 -0.6387 0.8019 0.2801 4.5544 -6.8565 5.6576 0.1762" Properties=species:S:1:pos:R:3 pbc="T T T"
Tc -1.0838 -1.8253 2.7565
Ga -5.3403 3.9751 3.5685
Na -4.7203 2.4103 1.1154
Tc -6.4937 5.1853 1.3354
Na -2.8572 0.9497 2.9765
Ga -2.2371 -0.6151 0.5234
```

## Properties
VASP energy, eV/atom: -4.7963
Energy relative to the elements, eV per atom: 0.1076
SG: No. 2
Offset from the most stable computed form, eV/f.u.: 0.45

---

This record from Alexandria describes a geometry-optimized Na3GaTc structure. The functional is GGA-PBE.

The structure in extended XYZ format:
```
5
Lattice="-0.1443 -5.1445 -2.4769 1.0748 -2.4579 5.0424 -5.6077 -0.3387 1.0302" Properties=species:S:1:pos:R:3 pbc="T T T"
Tc 0.0000 0.0000 0.0000
Ga -2.3386 -3.9705 1.7979
Na 0.5374 -1.2289 2.5212
Na -2.8038 -0.1694 0.5151
Na -0.0722 -2.5723 -1.2384
```

## Properties
VASP energy, eV/atom: -2.2113
Energy relative to the elements, eV per atom: 1.2587
SG: No. 221

---

Please write out number 2 again, unchanged.
This record from Alexandria describes a geometry-optimized NaGaTc structure. The functional is GGA-PBE.

The structure in extended XYZ format:
```
6
Lattice="-1.5228 -2.5778 -0.6387 0.8019 0.2801 4.5544 -6.8565 5.6576 0.1762" Properties=species:S:1:pos:R:3 pbc="T T T"
Tc -1.0838 -1.8253 2.7565
Ga -5.3403 3.9751 3.5685
Na -4.7203 2.4103 1.1154
Tc -6.4937 5.1853 1.3354
Na -2.8572 0.9497 2.9765
Ga -2.2371 -0.6151 0.5234
```

## Properties
VASP energy, eV/atom: -4.7963
Energy relative to the elements, eV per atom: 0.1076
SG: No. 2
Offset from the most stable computed form, eV/f.u.: 0.45

---

What is the VASP energy in the third record?
-2.2113 eV/atom

---

Among the records above, which one has the lowest VASP energy?
NaGaTc